[1]
This record from Alexandria via LeMat-Bulk describes TbY2Tm after structural relaxation. The functional is GGA-PBE.

DOS at the Fermi energy: 5.17 states/eV per cell
energy of formation: 0.023 eV/atom

a = 3.5416 Å, b = 5.0176 Å, c = 7.1010 Å
α = 90.00°, β = 90.00°, γ = 90.00°
Fractional positions:
Y (0.5000, 0.5000, 0.2507)
Y (0.0000, 0.0000, 0.9978)
Tm (0.5000, 0.5000, 0.7493)
Tb (0.0000, 0.0000, 0.5021)

[2]
This record from Alexandria via LeMat-Bulk describes Tb4Y5Tm2 after structural relaxation. The functional is GGA-PBE.

DOS at the Fermi energy: 18.27 states/eV per cell
energy of formation: 0.134 eV/atom

a = 7.4313 Å, b = 6.6310 Å, c = 9.9360 Å
α = 63.00°, β = 68.04°, γ = 55.92°
Fractional positions:
Tb (0.6704, 0.7797, 0.8794)
Tb (0.3296, 0.2203, 0.1206)
Tb (0.6832, 0.1326, 0.5011)
Tb (0.3168, 0.8674, 0.4989)
Tm (0.8562, 0.1661, 0.1216)
Tm (0.1438, 0.8339, 0.8784)
Y (0.7914, 0.6407, 0.2192)
Y (0.6513, 0.3593, 0.7808)
Y (0.0000, 0.5000, 0.5000)
Y (0.3487, 0.6407, 0.2192)
Y (0.2086, 0.3593, 0.7808)